Entry 1:
# PBE Ho4MgIn2, relaxed
data_Ho4MgIn2
_chemical_formula_sum 'Ho12 Mg3 In6'
_cell_length_a 5.2325
_cell_length_b 5.2325
_cell_length_c 25.1547
_cell_angle_alpha 90.00
_cell_angle_beta 90.00
_cell_angle_gamma 120.00
_symmetry_space_group_name_H-M 'R -3 m'
_symmetry_Int_Tables_number 166
_symmetry_space_group_name_Hall '-R 3 2"'
loop_
_atom_site_label
_atom_site_type_symbol
_atom_site_fract_x
_atom_site_fract_y
_atom_site_fract_z
Ho1 Ho 0.0000 0.0000 0.1158
Ho2 Ho 0.0000 0.0000 0.3695
Mg1 Mg 0.0000 0.0000 0.5000
In1 In 0.0000 0.0000 0.2449
# Distance to the lowest polymorph of the same formula   0.000 eV/atom
# Mass density   7.6 g/cm³
# Final energy   -3.861 eV/atom
# Magnetic moment   0.001 μB/cell
# Crystal system   trigonal
# D(E_F)   16.90 states/eV per cell


Entry 2:
# PBE HoMgIn2, relaxed
data_HoMgIn2
_chemical_formula_sum 'Ho1 Mg1 In2'
_cell_length_a 3.6616
_cell_length_b 3.6616
_cell_length_c 7.3295
_cell_angle_alpha 90.00
_cell_angle_beta 90.00
_cell_angle_gamma 90.00
_symmetry_space_group_name_H-M 'P 4/m m m'
_symmetry_Int_Tables_number 123
_symmetry_space_group_name_Hall '-P 4 2'
loop_
_atom_site_label
_atom_site_type_symbol
_atom_site_fract_x
_atom_site_fract_y
_atom_site_fract_z
Ho1 Ho 0.0000 0.0000 0.0000
Mg1 Mg 0.0000 0.0000 0.5000
In1 In 0.5000 0.5000 0.2711
# Mass density   7.1 g/cm³
# Final energy   -3.188 eV/atom
# Magnetic moment   0.000 μB/cell
# Crystal system   tetragonal
# D(E_F)   3.13 states/eV per cell


Entry 3:
# PBE HoMg14In, relaxed
data_HoMg14In
_chemical_formula_sum 'Ho1 Mg14 In1'
_cell_length_a 6.6450
_cell_length_b 6.6450
_cell_length_c 8.6152
_cell_angle_alpha 90.00
_cell_angle_beta 90.00
_cell_angle_gamma 90.00
_symmetry_space_group_name_H-M 'P 4/m m m'
_symmetry_Int_Tables_number 123
_symmetry_space_group_name_Hall '-P 4 2'
loop_
_atom_site_label
_atom_site_type_symbol
_atom_site_fract_x
_atom_site_fract_y
_atom_site_fract_z
Ho1 Ho 0.0000 0.0000 0.0000
Mg1 Mg 0.0000 0.0000 0.5000
Mg2 Mg 0.0000 0.5000 0.0000
Mg3 Mg 0.0000 0.5000 0.5000
Mg4 Mg 0.2515 0.2515 0.2561
Mg5 Mg 0.5000 0.5000 0.5000
In1 In 0.5000 0.5000 0.0000
# Mass density   2.7 g/cm³
# Final energy   -1.856 eV/atom
# Magnetic moment   0.000 μB/cell
# Crystal system   tetragonal
# D(E_F)   11.01 states/eV per cell


Entry 4:
# PBE Ho3Mg7In2, relaxed
data_Ho3Mg7In2
_chemical_formula_sum 'Ho9 Mg21 In6'
_cell_length_a 6.0145
_cell_length_b 6.0145
_cell_length_c 28.9139
_cell_angle_alpha 90.00
_cell_angle_beta 90.00
_cell_angle_gamma 120.00
_symmetry_space_group_name_H-M 'R -3 m'
_symmetry_Int_Tables_number 166
_symmetry_space_group_name_Hall '-R 3 2"'
loop_
_atom_site_label
_atom_site_type_symbol
_atom_site_fract_x
_atom_site_fract_y
_atom_site_fract_z
Ho1 Ho 0.0000 0.0000 0.0000
Ho2 Ho 0.0000 0.0000 0.1451
Mg1 Mg 0.0000 0.0000 0.5000
Mg2 Mg 0.0059 0.5030 0.9161
In1 In 0.0000 0.0000 0.3345
# Mass density   4.9 g/cm³
# Final energy   -2.640 eV/atom
# Magnetic moment   0.000 μB/cell
# Crystal system   trigonal
# D(E_F)   29.45 states/eV per cell